Below is a relaxed IrPtI crystal, with properties calculated at the GGA-PBE level.

**Formation energy (no corrections)**: 0.81 eV per atom
**ρ**: 10.87 Mg/m³

abc: 3.8556 4.9231 8.2804
angles: 90.00 90.00 90.00
With the nearest neighbours (Å) after each atom.
Space group Amm2 (No. 38)
One atom of each set of equivalent atoms:
Ir 0.0000 0.0000 0.0000  2 Pt 2.55, 2 I 2.56
Pt 0.5000 0.0000 0.2015  2 Ir 2.55, 2 I 2.61
I 0.0000 0.0000 0.4136  2 Ir 2.56, 2 Pt 2.61

***

Below is a relaxed CoSeBr2 crystal, with properties calculated at the GGA-PBE level.

**Formation energy (no corrections)**: 0.00 eV per atom
**ρ**: 4.43 Mg/m³

abc: 4.8798 13.6694 3.3467
angles: 90.00 90.00 90.00
With the nearest neighbours (Å) after each atom.
Space group Cmmm (No. 65)
One atom of each set of equivalent atoms:
Co 0.0000 0.0000 0.0000  4 Br 2.38, 2 Se 2.44
Se 0.0000 0.5000 0.0000  2 Co 2.44
Br 0.0000 0.1240 0.5000  2 Co 2.38

***

Below is a relaxed AgN crystal, with properties calculated at the GGA-PBE level.

**Formation energy (no corrections)**: 2.01 eV per atom
**ρ**: 4.50 Mg/m³
**Energy relative to the lowest polymorph listed for this composition**: 1748 meV per atom

abc: 5.5858 5.6910 5.6644
angles: 90.00 90.00 90.00
With the nearest neighbours (Å) after each atom.
Space group Ama2 (No. 40)
One atom of each set of equivalent atoms:
Ag 0.2500 0.0064 0.0000  2 N 2.01
N 0.2500 0.2563 0.7500  2 Ag 2.01

***

Below is a relaxed La4GaPdBr2 crystal, with properties calculated at the GGA-PBE level.

**Formation energy (no corrections)**: -0.99 eV per atom
**ρ**: 6.09 Mg/m³

abc: 7.7036 4.2866 7.7560
angles: 90.00 108.30 90.00
With the nearest neighbours (Å) after each atom.
Space group P2/m (No. 10)
One atom of each set of equivalent atoms:
La 0.2190 0.0000 0.2348  2 Pd 2.97, 1 Ga 3.04, 3 Br 3.24-3.27
La 0.2343 0.5000 0.7476  1 Pd 3.05, 2 Ga 3.06, 3 Br 3.18-3.22
Ga 0.0000 0.0000 0.5000  6 La 3.04-3.06
Pd 0.0000 0.5000 0.0000  6 La 2.97-3.05
Br 0.5000 0.0000 0.0000  6 La 3.18-3.24
Br 0.5000 0.5000 0.5000  6 La 3.22-3.27

***

Below is a relaxed Ga3PC crystal, with properties calculated at the GGA-PBE level.

**ρ**: 5.33 Mg/m³
**Energy of formation from the pure elements**: 0.617 eV per atom
**Energy relative to the lowest polymorph listed for this composition**: 0 meV per atom

abc: 4.2832 4.2832 4.2832
angles: 90.00 90.00 90.00
With the nearest neighbours (Å) after each atom.
Space group Pm-3m (No. 221)
One atom of each set of equivalent atoms:
Ga 0.0000 0.0000 0.5000  2 C 2.14
P 0.5000 0.5000 0.5000  12 Ga 3.03
C 0.0000 0.0000 0.0000  6 Ga 2.14

***

Below is a relaxed MgTa2Be crystal, with properties calculated at the GGA-PBE level.

**ρ**: 9.32 Mg/m³
**Energy of formation from the pure elements**: 0.354 eV per atom
**Energy relative to the lowest polymorph listed for this composition**: 224 meV per atom

abc: 3.3617 3.3617 6.2301
angles: 90.00 90.00 90.00
With the nearest neighbours (Å) after each atom.
Space group P4mm (No. 99)
One atom of each set of equivalent atoms:
Mg 0.0000 0.0000 0.0000  4 Be 2.92, 6 Ta 2.97-3.26
Ta 0.0000 0.0000 0.5238  4 Be 2.69, 4 Ta 2.72, 1 Mg 2.97
Ta 0.5000 0.5000 0.3114  1 Be 2.59, 4 Ta 2.72
Be 0.5000 0.5000 0.7265  5 Ta 2.59-2.69

***

- Among the records above, which one has the lowest ρ?
  CoSeBr2

***

- ρ of number 6 (MgTa2Be)?
  9.32 Mg/m³

***

- The lowest ρ belongs to which entry?
  CoSeBr2

***

- Which of these has the highest ρ?
  IrPtI